# 1
An optimized crystal structure of LiReSe. Source: Alexandria via LeMat-Bulk, functional GGA-PBEsol.

Cell: 5.5667 5.5667 5.5667 Å, 90.00 90.00 90.00°
Last column: nearest neighbours and their distance in Å.
Space group F-43m (No. 216)
One atom of each set of equivalent atoms:
Li (0.0000, 0.0000, 0.0000)  4 Se 2.41, 4 Re 2.41
Re (0.2500, 0.2500, 0.2500)  4 Li 2.41
Se (0.2500, 0.2500, 0.7500)  4 Li 2.41

Values from the calculation:
The density of states at the Fermi level is 1.405 states/eV/atom. As for the calculated total energy: -5.317 eV per atom. Its formation energy without anion corrections is 1.07 eV per atom. As for the distance to the lowest polymorph of the same formula: 940 meV/atom.

=====

# 2
An optimized crystal structure of KY2Os. Source: Alexandria via LeMat-Bulk, functional GGA-PBEsol.

Cell: 4.2785 4.2785 10.3777 Å, 90.00 90.00 90.00°
Last column: nearest neighbours and their distance in Å.
Space group I-4m2 (No. 119)
One atom of each set of equivalent atoms:
K (0.0000, 0.0000, 0.0000)  8 Y 3.03-3.36, 4 Os 3.36
Y (0.0000, 0.0000, 0.5000)  4 K 3.03, 4 Os 3.36, 4 Y 3.36
Y (0.0000, 0.5000, 0.7500)  4 Os 3.03, 4 K 3.36, 4 Y 3.36
Os (0.0000, 0.5000, 0.2500)  8 Y 3.03-3.36, 4 K 3.36

Values from the calculation:
The density of states at the Fermi level is 1.052 states/eV/atom. As for the calculated total energy: -5.956 eV per atom. Its formation energy is 0.79 eV per atom. As for the distance to the lowest polymorph of the same formula: 396 meV/atom.

=====

# 3
An optimized crystal structure of TePt2Br. Source: Alexandria via LeMat-Bulk, functional GGA-PBEsol.

Cell: 3.9161 3.9161 19.9660 Å, 90.00 90.00 120.00°
Last column: nearest neighbours and their distance in Å.
Space group R3m (No. 160, hexagonal axes)
One atom of each set of equivalent atoms:
Te (0.0000, 0.0000, 0.0000)  3 Pt 2.57
Pt (0.0000, 0.0000, 0.2724)  3 Te 2.57, 3 Pt 2.64
Pt (0.0000, 0.0000, 0.5372)  3 Br 2.62, 3 Pt 2.64
Br (0.0000, 0.0000, 0.8047)  3 Pt 2.62

Values from the calculation:
The density of states at the Fermi level is 0.443 states/eV/atom. As for the calculated total energy: -5.031 eV per atom. Its formation energy without anion corrections is -0.20 eV per atom.

=====

# 4
An optimized crystal structure of Mg4Sc3. Source: Alexandria via LeMat-Bulk, functional GGA-PBEsol.

Cell: 3.1911 3.1911 31.3868 Å, 90.00 90.00 90.00°
Last column: nearest neighbours and their distance in Å.
Space group I4/mmm (No. 139)
One atom of each set of equivalent atoms:
Mg (0.0000, 0.0000, 0.0710)  8 Mg 3.15-3.19, 4 Sc 3.17
Mg (0.0000, 0.0000, 0.3588)  8 Mg 3.15-3.19, 4 Sc 3.21
Sc (0.0000, 0.0000, 0.2140)  8 Sc 3.19-3.20, 4 Mg 3.21
Sc (0.0000, 0.0000, 0.5000)  8 Mg 3.17, 4 Sc 3.19

Values from the calculation:
The density of states at the Fermi level is 1.100 states/eV/atom. As for the calculated total energy: -3.850 eV per atom. Its formation energy is -0.04 eV per atom. As for the distance to the lowest polymorph of the same formula: 0 meV/atom.

=====

# 5
An optimized crystal structure of ZnS2BrN. Source: Alexandria via LeMat-Bulk, functional GGA-PBEsol.

Cell: 4.9083 4.9083 3.6620 Å, 90.00 90.00 90.00°
Last column: nearest neighbours and their distance in Å.
Space group P4/mmm (No. 123)
One atom of each set of equivalent atoms:
Zn (0.0000, 0.0000, 0.0000)  8 S 3.06
S (0.0000, 0.5000, 0.5000)  2 Br 2.45
Br (0.5000, 0.5000, 0.5000)  2 N 1.83
N (0.5000, 0.5000, 0.0000)  2 Br 1.83

Values from the calculation:
The density of states at the Fermi level is 0.665 states/eV/atom. As for the calculated total energy: -2.736 eV per atom. Its formation energy without anion corrections is 1.41 eV per atom.

=====

# 6
An optimized crystal structure of Li2YTcRh. Source: Alexandria via LeMat-Bulk, functional GGA-PBEsol.

Cell: 4.4364 4.4364 4.6792 Å, 90.00 90.00 90.00°
Last column: nearest neighbours and their distance in Å.
Space group P4/mmm (No. 123)
One atom of each set of equivalent atoms:
Li (0.0000, 0.5000, 0.0000)  2 Rh 2.22
Y (0.0000, 0.0000, 0.5000)  4 Tc 3.14, 8 Li 3.22
Tc (0.5000, 0.5000, 0.5000)  2 Rh 2.34
Rh (0.5000, 0.5000, 0.0000)  4 Li 2.22, 2 Tc 2.34

Values from the calculation:
The density of states at the Fermi level is 0.690 states/eV/atom. As for the calculated total energy: -5.673 eV per atom. Its formation energy is 0.36 eV per atom.

=====

# 7
An optimized crystal structure of SrPt2Pb. Source: Alexandria via LeMat-Bulk, functional GGA-PBEsol.

Cell: 4.0451 4.1943 5.6731 Å, 90.00 110.83 90.00°
Last column: nearest neighbours and their distance in Å.
Space group Pm (No. 6)
One atom of each set of equivalent atoms:
Sr (0.0000, 0.0000, 0.0000)  7 Pt 2.94-3.12
Pt (0.2756, 0.0000, 0.5539)  2 Pt 2.71, 1 Sr 2.94, 4 Pb 3.00-3.01
Pt (0.4394, 0.5000, 0.8781)  2 Pt 2.71, 1 Pb 2.84, 4 Sr 2.98
Pb (0.7073, 0.5000, 0.4142)  6 Pt 2.84-3.18

Values from the calculation:
The density of states at the Fermi level is 0.314 states/eV/atom. As for the calculated total energy: -5.386 eV per atom. Its formation energy is -0.44 eV per atom.

=====

# 8
An optimized crystal structure of Te2AuCl. Source: Alexandria via LeMat-Bulk, functional GGA-PBEsol.

Cell: 4.0509 11.8370 8.6335 Å, 90.00 90.00 90.00°
Last column: nearest neighbours and their distance in Å.
Space group Cmcm (No. 63)
One atom of each set of equivalent atoms:
Te (0.0000, 0.1126, 0.0492)  2 Au 2.68, 1 Te 2.80
Au (0.0000, 0.4106, 0.7500)  4 Te 2.68, 1 Cl 2.97
Cl (0.0000, 0.3384, 0.2500)  1 Au 2.97, 2 Te 3.19

Values from the calculation:
The density of states at the Fermi level is 0.063 states/eV/atom. As for the calculated total energy: -3.501 eV per atom. Its formation energy without anion corrections is -0.25 eV per atom.